A relaxed LaHfSiIr2 crystal. Source: OQMD, functional PBE-GGA.

Results
E_tot: -8.367 eV per atom

Structure (POSCAR):
```
LaHfSiIr2
1.0
5.768 -2.323 -1.397
2.675 -4.908 3.061
-5.464 1.712 -2.798
Ir La Hf Si
2 1 1 1
Cartesian
0.626 -3.329 0.530
2.173 -2.036 -1.699
0.154 -0.132 0.030
3.167 -2.712 0.624
5.302 -4.541 1.045
```